(1)
Below is crystalline Nd2SbPPd6 at its relaxed geometry, with properties calculated at the GGA-PBE level.

Computed properties:
* formation energy without anion corrections: -0.753 eV/atom
* space-group type: Pmmn (59)
* energy: -5.776 eV per atom
* volume: 20.7 A^3/atom

a b c (Å): 5.5850 8.3420 8.8867
angles (deg): 90.00 90.00 90.00
Closest atoms and distances in Å follow each position.
Positions (direct):
Pd (0.5000, 0.1143, 0.2534)  1 P 2.39, 1 Sb 2.66
Pd (0.0000, 0.8857, 0.7534)  1 P 2.39, 1 Sb 2.66
Pd (0.2441, 0.5447, 0.0000)  1 P 2.32, 1 Sb 2.60
Pd (0.0000, 0.8857, 0.2466)  1 P 2.39, 1 Sb 2.66
Pd (0.2519, 0.0012, 0.0000)  1 P 2.38
Pd (0.2481, 0.9988, 0.5000)  1 P 2.38
Pd (0.7441, 0.4553, 0.5000)  1 P 2.32, 1 Sb 2.60
Pd (0.7481, 0.0012, 0.0000)  1 P 2.38
Pd (0.7559, 0.5447, 0.0000)  1 P 2.32, 1 Sb 2.60
Pd (0.5000, 0.1143, 0.7466)  1 P 2.39, 1 Sb 2.66
Pd (0.2559, 0.4553, 0.5000)  1 P 2.32, 1 Sb 2.60
Pd (0.7519, 0.9988, 0.5000)  1 P 2.38
Nd (0.0000, 0.2594, 0.7540)  7 Pd 3.04-3.38
Nd (0.0000, 0.2594, 0.2460)  7 Pd 3.04-3.38
Nd (0.5000, 0.7406, 0.7460)  7 Pd 3.04-3.38
Nd (0.5000, 0.7406, 0.2540)  7 Pd 3.04-3.38
P (0.0000, 0.7705, 0.0000)  6 Pd 2.32-2.39
P (0.5000, 0.2295, 0.5000)  6 Pd 2.32-2.39
Sb (0.5000, 0.2850, 0.0000)  6 Pd 2.60-2.74
Sb (0.0000, 0.7150, 0.5000)  6 Pd 2.60-2.74

---

(2)
Below is crystalline Nd8P3PdSe4 at its relaxed geometry, with properties calculated at the GGA-PBE level.

Computed properties:
* formation energy without anion corrections: -1.626 eV/atom
* space-group type: R-3m (166)
* energy: -6.220 eV per atom
* volume: 26.4 A^3/atom

a b c (Å): 8.4055 8.4482 8.4052
angles (deg): 119.83 120.00 90.00
Closest atoms and distances in Å follow each position.
Positions (direct):
Nd (0.7392, 0.7372, 0.9882)  2 P 2.91, 1 Pd 2.97, 3 Se 2.99-3.05
Nd (0.7435, 0.7306, 0.4871)  3 P 2.90, 3 Se 3.06
Nd (0.2490, 0.7372, 0.9882)  2 P 2.91, 1 Pd 2.97, 3 Se 2.99-3.05
Nd (0.2608, 0.2628, 0.0118)  2 P 2.91, 1 Pd 2.97, 3 Se 2.99-3.05
Nd (0.7510, 0.2628, 0.0118)  2 P 2.91, 1 Pd 2.97, 3 Se 2.99-3.05
Nd (0.7510, 0.2628, 0.5019)  2 P 2.91, 1 Pd 2.97, 3 Se 2.99-3.05
Nd (0.2490, 0.7372, 0.4981)  2 P 2.91, 1 Pd 2.97, 3 Se 2.99-3.05
Nd (0.2565, 0.2694, 0.5129)  3 P 2.90, 3 Se 3.06
P (0.5000, 0.5000, 0.5000)  6 Nd 2.90-2.91
P (0.0000, 0.5000, 0.5000)  6 Nd 2.90-2.91
P (0.5000, 0.5000, 0.0000)  6 Nd 2.90-2.91
Pd (0.0000, 0.5000, 0.0000)  6 Nd 2.97
Se (0.5000, 0.0000, 0.0000)  6 Nd 2.99
Se (0.5000, 0.0000, 0.5000)  6 Nd 3.05-3.06
Se (0.0000, 0.0000, 0.5000)  6 Nd 3.05-3.06
Se (0.0000, 0.0000, 0.0000)  6 Nd 3.05-3.06

---

(3)
Below is crystalline NdSmP2Pd2 at its relaxed geometry, with properties calculated at the GGA-PBE level.

Computed properties:
* E_form: -1.241 eV/atom
* space-group type: P-3m1 (164)
* energy: -6.356 eV per atom
* volume: 20.1 A^3/atom

a b c (Å): 4.2266 4.2266 7.7894
angles (deg): 90.00 90.00 120.00
Closest atoms and distances in Å follow each position.
Positions (direct):
Sm (0.0000, 0.0000, 0.5000)  6 Pd 3.10, 6 P 3.11
Pd (0.6667, 0.3333, 0.2537)  3 P 2.44
Pd (0.3333, 0.6667, 0.7463)  3 P 2.44
Nd (0.0000, 0.0000, 0.0000)  6 P 3.14, 6 Pd 3.14
P (0.3333, 0.6667, 0.2529)  3 Pd 2.44
P (0.6667, 0.3333, 0.7471)  3 Pd 2.44

---

(4)
Below is crystalline NdSnPPd at its relaxed geometry, with properties calculated at the GGA-PBE level.

Computed properties:
* E_form: -0.869 eV/atom
* space-group type: P4/nmm (129)
* energy: -5.713 eV per atom
* volume: 23.7 A^3/atom

a b c (Å): 4.2144 4.2144 10.6830
angles (deg): 90.00 90.00 90.00
Closest atoms and distances in Å follow each position.
Positions (direct):
Pd (0.5000, 0.0000, 0.6643)  1 P 2.33
Pd (0.0000, 0.5000, 0.3357)  1 P 2.33
Sn (0.5000, 0.5000, 0.5000)  4 Pd 2.74, 4 Sn 2.98
Sn (0.0000, 0.0000, 0.5000)  4 Pd 2.74, 4 Sn 2.98
P (0.0000, 0.5000, 0.1174)  1 Pd 2.33
P (0.5000, 0.0000, 0.8826)  1 Pd 2.33
Nd (0.5000, 0.0000, 0.1446)  5 P 2.80-2.99
Nd (0.0000, 0.5000, 0.8554)  5 P 2.80-2.99

---

(5)
Below is crystalline NdSn2P2Pd7 at its relaxed geometry, with properties calculated at the GGA-PBE level.

Computed properties:
* E_form: -0.582 eV/atom
* space-group type: C2/m (12)
* energy: -5.577 eV per atom
* volume: 18.8 A^3/atom

a b c (Å): 4.4066 4.4066 11.6649
angles (deg): 90.16 90.16 85.50
Closest atoms and distances in Å follow each position.
Positions (direct):
Pd (0.6606, 0.1621, 0.7539)  2 P 2.35-2.37
Pd (0.6482, 0.6482, 0.5950)  1 Sn 2.65, 1 P 2.70, 5 Pd 2.83-2.93
Pd (0.3394, 0.8379, 0.2461)  2 P 2.35-2.37
Pd (0.3518, 0.3518, 0.4050)  1 Sn 2.65, 1 P 2.70, 5 Pd 2.83-2.93
Pd (0.1621, 0.6606, 0.7539)  2 P 2.35-2.37
Pd (0.5000, 0.5000, 0.0000)  2 P 2.29
Pd (0.8379, 0.3394, 0.2461)  2 P 2.35-2.37
P (0.6649, 0.6649, 0.8264)  5 Pd 2.29-2.37
P (0.3351, 0.3351, 0.1736)  5 Pd 2.29-2.37
Sn (0.8396, 0.8396, 0.3944)  5 Pd 2.65-2.80
Sn (0.1604, 0.1604, 0.6056)  5 Pd 2.65-2.80
Nd (0.0000, 0.0000, 0.0000)  2 P 2.96, 8 Pd 2.99-3.29

---

(6)
Below is crystalline Nd2SnP3Pd4 at its relaxed geometry, with properties calculated at the GGA-PBE level.

Computed properties:
* E_form: -0.872 eV/atom
* space-group type: P-4m2 (115)
* energy: -5.926 eV per atom
* volume: 18.8 A^3/atom

a b c (Å): 4.1586 4.1586 10.8993
angles (deg): 90.00 90.00 90.00
Closest atoms and distances in Å follow each position.
Positions (direct):
P (0.0000, 0.5000, 0.1295)  5 Pd 2.37-2.51
P (0.5000, 0.0000, 0.8705)  5 Pd 2.37-2.51
P (0.0000, 0.0000, 0.5000)  4 Pd 2.67, 4 Sn 2.94
Nd (0.0000, 0.5000, 0.7730)  4 P 3.13, 8 Pd 3.22-3.23
Nd (0.5000, 0.0000, 0.2270)  4 P 3.13, 8 Pd 3.22-3.23
Sn (0.5000, 0.5000, 0.5000)  4 Pd 2.67, 4 P 2.94
Pd (0.0000, 0.0000, 0.0000)  4 P 2.51
Pd (0.5000, 0.5000, 0.0000)  4 P 2.51
Pd (0.0000, 0.5000, 0.3466)  1 P 2.37
Pd (0.5000, 0.0000, 0.6534)  1 P 2.37

---

(7)
Below is crystalline TbNdP2Pd2 at its relaxed geometry, with properties calculated at the GGA-PBE level.

Computed properties:
* E_form: -1.244 eV/atom
* space-group type: P-3m1 (164)
* energy: -6.344 eV per atom
* volume: 19.7 A^3/atom

a b c (Å): 4.2129 4.2129 7.6909
angles (deg): 90.00 90.00 120.00
Closest atoms and distances in Å follow each position.
Positions (direct):
P (0.3333, 0.6667, 0.2562)  3 Pd 2.43
P (0.6667, 0.3333, 0.7438)  3 Pd 2.43
Pd (0.6667, 0.3333, 0.2593)  3 P 2.43
Pd (0.3333, 0.6667, 0.7407)  3 P 2.43
Tb (0.0000, 0.0000, 0.5000)  6 Pd 3.06, 6 P 3.07
Nd (0.0000, 0.0000, 0.0000)  6 P 3.13, 6 Pd 3.15

---

(8)
Below is crystalline Nd4Te2PPd at its relaxed geometry, with properties calculated at the GGA-PBE level.

Computed properties:
* formation energy without anion corrections: -1.280 eV/atom
* space-group type: P2/m (10)
* energy: -5.775 eV per atom
* volume: 29.3 A^3/atom

a b c (Å): 4.2743 7.5634 7.6502
angles (deg): 108.66 90.00 90.00
Closest atoms and distances in Å follow each position.
Positions (direct):
P (0.0000, 0.0000, 0.0000)  6 Nd 2.93
Nd (0.0000, 0.7445, 0.2190)  1 P 2.93, 2 Pd 2.97, 3 Te 3.20-3.25
Nd (0.5000, 0.7690, 0.7804)  2 P 2.93, 1 Pd 3.02, 3 Te 3.17-3.24
Nd (0.5000, 0.2310, 0.2196)  2 P 2.93, 1 Pd 3.02, 3 Te 3.17-3.24
Nd (0.0000, 0.2555, 0.7810)  1 P 2.93, 2 Pd 2.97, 3 Te 3.20-3.25
Te (0.0000, 0.5000, 0.5000)  6 Nd 3.24-3.25
Te (0.5000, 0.0000, 0.5000)  6 Nd 3.17-3.20
Pd (0.5000, 0.5000, 0.0000)  6 Nd 2.97-3.02

---

(9)
Below is crystalline PmNd4P5 at its relaxed geometry, with properties calculated at the GGA-PBE level.

Computed properties:
* E_form: -1.544 eV/atom
* space-group type: Immm (71)
* energy: -6.631 eV per atom
* volume: 25.5 A^3/atom

a b c (Å): 4.1646 5.8800 11.0055
angles (deg): 105.49 100.91 90.00
Closest atoms and distances in Å follow each position.
Positions (direct):
Nd (0.8003, 0.8003, 0.6006)  6 P 2.94-2.95
Nd (0.1997, 0.1997, 0.3994)  6 P 2.94-2.95
Nd (0.4002, 0.4002, 0.8004)  6 P 2.94-2.95
Nd (0.5998, 0.5998, 0.1996)  6 P 2.94-2.95
P (0.2001, 0.7001, 0.4002)  6 Nd 2.94-2.95
P (0.4008, 0.9008, 0.8016)  2 Pm 2.93, 4 Nd 2.94-2.95
P (0.0000, 0.5000, 0.0000)  2 Pm 2.94, 4 Nd 2.94
P (0.5992, 0.0992, 0.1984)  2 Pm 2.93, 4 Nd 2.94-2.95
P (0.7999, 0.2999, 0.5998)  6 Nd 2.94-2.95
Pm (0.0000, 0.0000, 0.0000)  6 P 2.93-2.94

---

(10)
Below is crystalline PmNdP2 at its relaxed geometry, with properties calculated at the GGA-PBE level.

Computed properties:
* E_form: -1.056 eV/atom
* space-group type: Fm-3m (225)
* energy: -6.140 eV per atom
* polymorph energy (0 for the lowest one): 497 meV/atom
* volume: 22.8 A^3/atom

a b c (Å): 5.0550 5.0550 5.0550
angles (deg): 60.00 60.00 60.00
Closest atoms and distances in Å follow each position.
Positions (direct):
Nd (0.5000, 0.5000, 0.5000)  8 P 3.10
P (0.7500, 0.7500, 0.7500)  4 Nd 3.10, 4 Pm 3.10
P (0.2500, 0.2500, 0.2500)  4 Nd 3.10, 4 Pm 3.10
Pm (0.0000, 0.0000, 0.0000)  8 P 3.10

---

(11)
Below is crystalline PmNdP2 at its relaxed geometry, with properties calculated at the GGA-PBE level.

Computed properties:
* E_form: -1.386 eV/atom
* space-group type: R3m (160)
* energy: -6.471 eV per atom
* polymorph energy (0 for the lowest one): 166 meV/atom
* volume: 25.8 A^3/atom

a b c (Å): 4.1005 4.1005 7.4591
angles (deg): 74.05 74.05 60.00
Closest atoms and distances in Å follow each position.
Positions (direct):
P (0.0818, 0.0818, 0.7547)  3 Pm 2.91, 3 Nd 2.94
P (0.2516, 0.2516, 0.2452)  3 Pm 2.97, 3 Nd 3.01
Nd (0.4976, 0.4976, 0.5073)  6 P 2.94-3.01
Pm (0.6691, 0.6691, 0.9928)  6 P 2.91-2.97

---

(12)
Below is crystalline PmNd3P4 at its relaxed geometry, with properties calculated at the GGA-PBE level.

Computed properties:
* E_form: -1.545 eV/atom
* space-group type: Cmmm (65)
* energy: -6.632 eV per atom
* polymorph energy (0 for the lowest one): 2 meV/atom
* volume: 25.4 A^3/atom

a b c (Å): 4.1615 7.2015 7.2015
angles (deg): 109.45 90.00 90.00
Closest atoms and distances in Å follow each position.
Positions (direct):
P (0.5000, 0.7508, 0.2492)  1 Pm 2.93, 5 Nd 2.94-2.95
P (0.0000, 0.7513, 0.7513)  2 Pm 2.93, 4 Nd 2.94-2.95
P (0.0000, 0.2487, 0.2487)  2 Pm 2.93, 4 Nd 2.94-2.95
P (0.5000, 0.2492, 0.7508)  1 Pm 2.93, 5 Nd 2.94-2.95
Nd (0.0000, 0.0000, 0.5000)  6 P 2.94
Nd (0.0000, 0.5000, 0.0000)  6 P 2.94
Nd (0.5000, 0.5000, 0.5000)  6 P 2.95
Pm (0.5000, 0.0000, 0.0000)  6 P 2.93